Crystalline AlCd2In at its relaxed geometry, computed with GGA-PBE.

The space group is Pmmm (No. 47) and the conventional cell measures 3.1514, 4.6896 and 6.1175 Å, with angles of 90.00, 90.00 and 90.00 degrees. Symmetry generates all atoms from Al at (0.0000, 0.0000, 0.0000), Cd at (0.5000, 0.5000, 0.2398) and In at (0.0000, 0.0000, 0.5000).

The energy relative to the lowest polymorph listed for this composition comes out at 0.045 eV per atom. The value obtained for the spin magnetization is 0.0 μB/cell. For the final energy, the calculation gives -7.82 eV for the cell shown.

Crystalline Sr2Ag2Sn at its relaxed geometry, computed with GGA-PBE.

The space group is I4/mmm (No. 139) and the conventional cell measures 6.2465, 6.2465 and 8.1444 Å, with angles of 90.00, 90.00 and 90.00 degrees. Symmetry generates all atoms from Sr at (0.0000, 0.5000, 0.2500), Ag at (0.0000, 0.0000, 0.1602) and Sn at (0.0000, 0.0000, 0.5000).

The energy relative to the lowest polymorph listed for this composition comes out at 0.166 eV per atom. The value obtained for the spin magnetization is 0.0 μB/cell. For the final energy, the calculation gives -29.02 eV for the cell shown.

Crystalline Ca2LaFe at its relaxed geometry, computed with GGA-PBE.

The space group is Fm-3m (No. 225) and the conventional cell measures 7.5348, 7.5348 and 7.5348 Å, with angles of 90.00, 90.00 and 90.00 degrees. Symmetry generates all atoms from Ca at (0.2500, 0.2500, 0.2500), La at (0.0000, 0.0000, 0.0000) and Fe at (0.0000, 0.0000, 0.5000).

The energy relative to the lowest polymorph listed for this composition comes out at 0.493 eV per atom. The value obtained for the spin magnetization is 0.0 μB/cell. For the final energy, the calculation gives -58.16 eV for the cell shown.

Crystalline PrHfZr2 at its relaxed geometry, computed with GGA-PBE.

The space group is P4/mmm (No. 123) and the conventional cell measures 3.8033, 3.8033 and 7.1680 Å, with angles of 90.00, 90.00 and 90.00 degrees. Symmetry generates all atoms from Pr at (0.0000, 0.0000, 0.0000), Hf at (0.0000, 0.0000, 0.5000) and Zr at (0.5000, 0.5000, 0.2946).

The value obtained for the spin magnetization is 0.0 μB/cell. For the final energy, the calculation gives -31.23 eV for the cell shown.

Crystalline TaIr3Rh at its relaxed geometry, computed with GGA-PBE.

The space group is P-1 (No. 2) and the conventional cell measures 5.0026, 5.1391 and 5.1855 Å, with angles of 107.94, 106.70 and 113.02 degrees. Symmetry generates all atoms from Ta at (0.0000, 0.0000, 0.0000), Ir at (0.0000, 0.0000, 0.5000), Ir at (0.5000, 0.5000, 0.0000), Ir at (0.5000, 0.5000, 0.5000) and Rh at (0.5000, 0.0000, 0.0000).

The energy relative to the lowest polymorph listed for this composition comes out at 0.000 eV per atom. The value obtained for the spin magnetization is 0.0 μB/cell. For the final energy, the calculation gives -41.85 eV for the cell shown.

Crystalline Pb5C7 at its relaxed geometry, computed with GGA-PBE.

The space group is I4mm (No. 107) and the conventional cell measures 9.5142, 9.5142 and 4.8697 Å, with angles of 90.00, 90.00 and 90.00 degrees. Symmetry generates all atoms from Pb at (0.0000, 0.0000, 0.0000), Pb at (0.1874, 0.1874, 0.4929), C at (0.0000, 0.0000, 0.5022), C at (0.0000, 0.4031, 0.4946) and C at (0.0000, 0.5000, 0.2448).

The value obtained for the spin magnetization is 0.0 μB/cell. For the final energy, the calculation gives -135.23 eV for the cell shown.

Crystalline Ac2LaCe at its relaxed geometry, computed with GGA-PBE.

The space group is P4/mmm (No. 123) and the conventional cell measures 5.4031, 5.4031 and 5.3123 Å, with angles of 90.00, 90.00 and 90.00 degrees. Symmetry generates all atoms from Ac at (0.0000, 0.5000, 0.0000), La at (0.0000, 0.0000, 0.5000) and Ce at (0.5000, 0.5000, 0.5000).

The energy relative to the lowest polymorph listed for this composition comes out at 0.011 eV per atom. The value obtained for the spin magnetization is 1.4 μB/cell. For the final energy, the calculation gives -18.66 eV for the cell shown.

Crystalline AgSb2TeN at its relaxed geometry, computed with GGA-PBE.

The space group is P4/mmm (No. 123) and the conventional cell measures 5.3222, 5.3222 and 5.3233 Å, with angles of 90.00, 90.00 and 90.00 degrees. Symmetry generates all atoms from Ag at (0.0000, 0.0000, 0.0000), Sb at (0.0000, 0.5000, 0.0000), Te at (0.0000, 0.0000, 0.5000) and N at (0.5000, 0.5000, 0.5000).

For the uncorrected formation energy, the calculation gives 1.825 eV per atom. The energy relative to the lowest polymorph listed for this composition comes out at 1.164 eV per atom. The value obtained for the spin magnetization is 0.0 μB/cell. For the final energy, the calculation gives -13.44 eV for the cell shown.

Crystalline Sr4MoSe at its relaxed geometry, computed with GGA-PBE.

The space group is F-43m (No. 216) and the conventional cell measures 9.8653, 9.8653 and 9.8653 Å, with angles of 90.00, 90.00 and 90.00 degrees. Symmetry generates all atoms from Sr at (0.1246, 0.1246, 0.1246), Mo at (0.2500, 0.2500, 0.7500) and Se at (0.0000, 0.0000, 0.5000).

For the uncorrected formation energy, the calculation gives 0.843 eV per atom. The value obtained for the spin magnetization is 14.1 μB/cell. For the final energy, the calculation gives -63.94 eV for the cell shown.

Crystalline NaGa2Hg at its relaxed geometry, computed with GGA-PBE.

The space group is P2_1/m (No. 11) and the conventional cell measures 4.1341, 4.1342 and 10.5573 Å, with angles of 90.00, 90.05 and 90.00 degrees. Symmetry generates all atoms from Na at (0.2469, 0.2500, 0.2293), Ga at (0.2489, 0.7500, 0.5000), Ga at (0.2526, 0.2500, 0.6623) and Hg at (0.2523, 0.2500, 0.9334).

The value obtained for the spin magnetization is 0.0 μB/cell. For the final energy, the calculation gives -16.50 eV for the cell shown.

Crystalline Pm3In2Au at its relaxed geometry, computed with GGA-PBE.

The space group is P4/mmm (No. 123) and the conventional cell measures 3.6477, 3.6477 and 12.3749 Å, with angles of 90.00, 90.00 and 90.00 degrees. Symmetry generates all atoms from Pm at (0.0000, 0.0000, 0.0000), Pm at (0.0000, 0.0000, 0.3497), In at (0.5000, 0.5000, 0.1748) and Au at (0.5000, 0.5000, 0.5000).

The value obtained for the spin magnetization is 0.0 μB/cell. For the final energy, the calculation gives -26.54 eV for the cell shown.

Crystalline TeSe2I at its relaxed geometry, computed with GGA-PBE.

The space group is I-42d (No. 122) and the conventional cell measures 7.8940, 7.8940 and 8.2793 Å, with angles of 90.00, 90.00 and 90.00 degrees. Symmetry generates all atoms from Te at (0.0000, 0.0000, 0.0000), Se at (0.2114, 0.2500, 0.1250) and I at (0.0000, 0.0000, 0.5000).

For the uncorrected formation energy, the calculation gives 0.276 eV per atom. The energy relative to the lowest polymorph listed for this composition comes out at 0.196 eV per atom. The value obtained for the spin magnetization is 0.0 μB/cell. For the final energy, the calculation gives -42.24 eV for the cell shown.